## TaPdSe4 (PBE)

Data for an optimized crystal structure of TaPdSe4.

The structure in extended XYZ format:
```
6
Lattice="6.248 0.000 0.000 0.000 3.644 0.000 -2.117 0.000 6.566" Properties=species:S:1:pos:R:3 pbc="T T T"
Ta 0.000 0.000 0.000
Pd 3.124 1.822 0.000
Se 1.071 1.822 1.545
Se -0.039 0.000 5.058
Se 4.171 0.000 1.507
Se 3.061 1.822 5.021
```

- SG: No. 10
- N(E_F): 0.699 states/eV/atom
- Formation energy (no corrections): -0.473 eV/atom
- Crystal system: monoclinic
- Distance to the lowest polymorph of the same formula: 0 kJ/mol of formula units



## BeInOs (PBE)

Data for an optimized crystal structure of BeInOs.

The structure in extended XYZ format:
```
3
Lattice="-1.547 1.547 4.674 1.547 -1.547 4.674 1.547 1.547 -4.674" Properties=species:S:1:pos:R:3 pbc="T T T"
Be 0.000 0.000 0.000
In 0.000 0.000 6.695
Os 0.000 0.000 3.892
```

- SG: No. 107
- N(E_F): 0.791 states/eV/atom
- Crystal system: tetragonal
- Distance to the lowest polymorph of the same formula: 0 kJ/mol of formula units